Below is a relaxed structure of NaCd3Re, with properties calculated at the GGA-PBE level.

Results
- ΔE to the lowest computed polymorph (kJ/mol of atoms) = 0.0

Cell: 5.317 5.317 5.317 Å, 90.00 90.00 90.00°
Atoms (fractional coordinates):
Na (0.000, 0.000, 0.000)
Cd (0.000, 0.500, 0.500)
Cd (0.500, 0.000, 0.500)
Cd (0.500, 0.500, 0.000)
Re (0.500, 0.500, 0.500)



Below is a relaxed structure of V2ZnFe2, with properties calculated at the GGA-PBE level.

Results
- ΔE to the lowest computed polymorph (kJ/mol of atoms) = 36.4

Cell: 6.215 6.215 6.215 Å, 147.10 147.10 47.21°
Atoms (fractional coordinates):
V (0.117, 0.117, 0.000)
V (0.883, 0.883, 0.000)
Zn (0.500, 0.500, 0.000)
Fe (0.250, 0.750, 0.500)
Fe (0.750, 0.250, 0.500)



Number 1: magnetic moment 1.42 μB/cell, ΔH_f (0 K) 0.736 eV per atom. Number 2: magnetic moment 0.23 μB/cell, ΔH_f (0 K) 0.374 eV per atom.